The following is a PBE calculation of Tb3Sm4Dy after structural relaxation, from the Alexandria database.

The structure in POSCAR format:
```
Tb3Sm4Dy
1.0
-1.2187 0.1150 3.2707
0.4769 -6.7658 0.4156
10.8897 4.2870 2.0425
Tb Sm Dy
3 4 1
direct
0.0000 0.5000 0.0000 Tb
0.1235 0.8817 0.2469 Tb
0.8765 0.1183 0.7531 Tb
0.7404 0.2379 0.4808 Sm
0.2596 0.7621 0.5192 Sm
0.1239 0.3678 0.2478 Sm
0.8761 0.6322 0.7522 Sm
0.5000 0.0000 0.0000 Dy
```

DFT total energy: -4.51 eV per atom
N(E_F): 1.765 states/eV/atom
Relative energy among the computed polymorphs: 142 meV per atom
Energy relative to the elements: 0.1653 eV/atom